An optimized crystal structure of ZnFeRh. Source: Alexandria, functional PBE-GGA.

The calculated formation energy comes out at -0.137 eV/atom. Its size of the total moment is 3.30 μB per formula unit. For the density of states at the Fermi level, the calculation gives 5.39 states/eV/cell. The electronic total energy comes out at -35.00 eV per cell.

The structure belongs to space group I4mm (No. 107); the cell edges are 3.022, 3.022 and 8.820 Å and the angles 90.00°, 90.00° and 90.00°. Symmetry generates all atoms from Zn at (0.000, 0.000, 0.000), Fe at (0.000, 0.000, 0.335) and Rh at (0.000, 0.000, 0.675).

An optimized crystal structure of AgSn2Pd3. Source: Alexandria, functional PBE-GGA.

The calculated formation energy comes out at -0.270 eV/atom. Its size of the total moment is 0.00 μB per formula unit. For the density of states at the Fermi level, the calculation gives 9.74 states/eV/cell. The electronic total energy comes out at -112.23 eV per cell.

The structure belongs to space group Ibam (No. 72); the cell edges are 6.114, 13.625 and 5.753 Å and the angles 90.00°, 90.00° and 90.00°. Symmetry generates all atoms from Ag at (0.000, 0.000, 0.000), Sn at (0.133, 0.345, 0.000), Pd at (0.000, 0.187, 0.250) and Pd at (0.000, 0.500, 0.250).

An optimized crystal structure of Ce2DyPaN4. Source: Alexandria, functional PBE-GGA.

Its size of the total moment is 0.35 μB per formula unit. As for the formation energy without anion corrections: -1608 meV/atom. For the density of states at the Fermi level, the calculation gives 7.51 states/eV/cell. The electronic total energy comes out at -72.13 eV per cell.

The structure belongs to space group P2/m (No. 10); the cell edges are 6.068, 3.529 and 6.149 Å and the angles 90.00°, 109.20° and 90.00°. Symmetry generates all atoms from Ce at (0.000, 0.000, 0.000), Ce at (0.500, 0.500, 0.000), Dy at (0.000, 0.500, 0.500), Pa at (0.500, 0.000, 0.500), N at (0.257, 0.000, 0.734) and N at (0.264, 0.500, 0.272).